Entry from Alexandria: an optimized crystal structure of VGa2Rh2 (PBE).

Results
Its energy above the most stable polymorph in this dataset is 0.0 meV per atom. The crystal system is tetragonal. The value obtained for the volume is 73.24 Å³/f.u. The value obtained for the formation energy is -0.390 eV per atom.

Unit cell a=7.1798 b=7.1798 c=2.8416 alpha=90.00 beta=90.00 gamma=90.00
Last column: nearest neighbours and their distance in Å.
Positions (direct):
V (0.0000, 0.0000, 0.0000)  4 Ga 2.81, 2 V 2.84, 8 Rh 3.03
V (0.5000, 0.5000, 0.0000)  4 Ga 2.81, 2 V 2.84, 8 Rh 3.03
Ga (0.1323, 0.3677, 0.0000)  6 Rh 2.48-2.59, 1 Ga 2.69
Ga (0.3677, 0.8677, 0.0000)  6 Rh 2.48-2.59, 1 Ga 2.69
Ga (0.6323, 0.1323, 0.0000)  6 Rh 2.48-2.59, 1 Ga 2.69
Ga (0.8677, 0.6323, 0.0000)  6 Rh 2.48-2.59, 1 Ga 2.69
Rh (0.1674, 0.6674, 0.5000)  6 Ga 2.48-2.59
Rh (0.3326, 0.1674, 0.5000)  6 Ga 2.48-2.59
Rh (0.6674, 0.8326, 0.5000)  6 Ga 2.48-2.59
Rh (0.8326, 0.3326, 0.5000)  6 Ga 2.48-2.59

Entry from Alexandria: an optimized crystal structure of As2SF2 (PBE).

Results
Its energy above the most stable polymorph in this dataset is 0.0 meV per atom. The calculation puts the formation energy (no corrections) at -0.340 eV per atom. The crystal system is tetragonal. The value obtained for the volume is 79.52 Å³/f.u.

Unit cell a=7.8599 b=7.8599 c=2.5742 alpha=90.00 beta=90.00 gamma=90.00
Last column: nearest neighbours and their distance in Å.
Positions (direct):
As (0.2211, 0.2789, 0.0000)  2 F 2.17
As (0.2789, 0.7789, 0.0000)  2 F 2.17
As (0.7211, 0.2211, 0.0000)  2 F 2.17
As (0.7789, 0.7211, 0.0000)  2 F 2.17
S (0.0000, 0.0000, 0.5000)  2 S 2.57
S (0.5000, 0.5000, 0.5000)  2 S 2.57
F (0.1218, 0.6218, 0.5000)  2 As 2.17
F (0.3782, 0.1218, 0.5000)  2 As 2.17
F (0.6218, 0.8782, 0.5000)  2 As 2.17
F (0.8782, 0.3782, 0.5000)  2 As 2.17

Entry from Alexandria: an optimized crystal structure of Bi2Te2Pt (PBE).

Results
Its energy above the most stable polymorph in this dataset is 206.9 meV per atom. The calculation puts the formation energy (no corrections) at 0.029 eV per atom. The crystal system is tetragonal. The value obtained for the volume is 155.72 Å³/f.u.

Unit cell a=6.9807 b=6.9807 c=6.3909 alpha=90.00 beta=90.00 gamma=90.00
Last column: nearest neighbours and their distance in Å.
Positions (direct):
Bi (0.1957, 0.3043, 0.0000)  2 Te 3.21, 4 Bi 3.57
Bi (0.3043, 0.8043, 0.0000)  2 Te 3.21, 4 Bi 3.57
Bi (0.6957, 0.1957, 0.0000)  2 Te 3.21, 4 Bi 3.57
Bi (0.8043, 0.6957, 0.0000)  2 Te 3.21, 4 Bi 3.57
Te (0.1606, 0.3394, 0.5000)  2 Pt 2.62
Te (0.3394, 0.8394, 0.5000)  2 Pt 2.62
Te (0.6606, 0.1606, 0.5000)  2 Pt 2.62
Te (0.8394, 0.6606, 0.5000)  2 Pt 2.62
Pt (0.0000, 0.0000, 0.5000)  4 Te 2.62
Pt (0.5000, 0.5000, 0.5000)  4 Te 2.62

Entry from Alexandria: an optimized crystal structure of CdAgSb2 (PBE).

Results
Its energy above the most stable polymorph in this dataset is 88.9 meV per atom. The calculation puts the formation energy (no corrections) at 0.167 eV per atom. The crystal system is trigonal. The value obtained for the volume is 96.63 Å³/f.u.

Unit cell a=10.3881 b=10.3881 c=10.3881 alpha=18.31 beta=18.31 gamma=18.31
Last column: nearest neighbours and their distance in Å.
Positions (direct):
Cd (0.0000, 0.0000, 0.0000)  3 Ag 2.96, 6 Cd 3.31, 3 Sb 3.31
Ag (0.7406, 0.7406, 0.7406)  3 Cd 2.96, 3 Sb 3.06, 6 Ag 3.31
Sb (0.2450, 0.2450, 0.2450)  9 Sb 3.31-3.43, 3 Cd 3.31
Sb (0.4852, 0.4852, 0.4852)  3 Ag 3.06, 6 Sb 3.31

Entry from Alexandria: an optimized crystal structure of LaPr2PuBi4 (PBE).

Results
The crystal system is monoclinic. The value obtained for the volume is 281.84 Å³/f.u. The value obtained for the formation energy is -0.815 eV per atom.

Unit cell a=8.0245 b=4.6391 c=8.0297 alpha=90.00 beta=109.46 gamma=90.00
Last column: nearest neighbours and their distance in Å.
Positions (direct):
La (0.0000, 0.0000, 0.0000)  6 Bi 3.29
Pr (0.0000, 0.5000, 0.5000)  6 Bi 3.31
Pr (0.5000, 0.0000, 0.5000)  6 Bi 3.27
Pu (0.5000, 0.5000, 0.0000)  6 Bi 3.24
Bi (0.2542, 0.5000, 0.2489)  1 Pu 3.24, 3 Pr 3.27-3.31, 2 La 3.29
Bi (0.2562, 0.0000, 0.7545)  2 Pu 3.24, 3 Pr 3.27-3.31, 1 La 3.29
Bi (0.7438, 0.0000, 0.2455)  2 Pu 3.24, 3 Pr 3.27-3.31, 1 La 3.29
Bi (0.7458, 0.5000, 0.7511)  1 Pu 3.24, 3 Pr 3.27-3.31, 2 La 3.29

Entry from Alexandria: an optimized crystal structure of BaSb4Pd4 (PBE).

Results
The calculation puts the formation energy (no corrections) at -0.509 eV per atom. The crystal system is tetragonal. The value obtained for the volume is 228.12 Å³/f.u.

Unit cell a=9.1541 b=9.1541 c=5.4446 alpha=90.00 beta=90.00 gamma=90.00
Last column: nearest neighbours and their distance in Å.
Positions (direct):
Ba (0.2500, 0.2500, 0.2500)  4 Pd 3.55, 4 Sb 3.61
Ba (0.7500, 0.7500, 0.7500)  4 Pd 3.55, 4 Sb 3.61
Sb (0.1149, 0.6180, 0.1762)  5 Pd 2.68-2.87
Sb (0.1180, 0.8851, 0.6762)  5 Pd 2.68-2.87
Sb (0.3820, 0.6149, 0.6762)  5 Pd 2.68-2.87
Sb (0.3851, 0.8820, 0.1762)  5 Pd 2.68-2.87
Sb (0.6149, 0.1180, 0.8238)  5 Pd 2.68-2.87
Sb (0.6180, 0.3851, 0.3238)  5 Pd 2.68-2.87
Sb (0.8820, 0.1149, 0.3238)  5 Pd 2.68-2.87
Sb (0.8851, 0.3820, 0.8238)  5 Pd 2.68-2.87
Pd (0.0725, 0.9073, 0.1799)  5 Sb 2.68-2.87, 1 Pd 2.91
Pd (0.0927, 0.5725, 0.6799)  5 Sb 2.68-2.87, 1 Pd 2.91
Pd (0.4073, 0.9275, 0.6799)  5 Sb 2.68-2.87, 1 Pd 2.91
Pd (0.4275, 0.5927, 0.1799)  5 Sb 2.68-2.87, 1 Pd 2.91
Pd (0.5725, 0.4073, 0.8201)  5 Sb 2.68-2.87, 1 Pd 2.91
Pd (0.5927, 0.0725, 0.3201)  5 Sb 2.68-2.87, 1 Pd 2.91
Pd (0.9073, 0.4275, 0.3201)  5 Sb 2.68-2.87, 1 Pd 2.91
Pd (0.9275, 0.0927, 0.8201)  5 Sb 2.68-2.87, 1 Pd 2.91